Computed, not measured: Dy2P7Rh12 after structural relaxation at the GGA-PBEsol level of DFT.

Its total energy is -169.0 eV/cell.

a = 3.805 Å, b = 9.470 Å, c = 9.470 Å
α = 120.00°, β = 90.00°, γ = 90.00°
Fractional positions:
Dy1 0.250 0.667 0.333
Dy2 0.750 0.333 0.667
P1 0.500 0.000 0.000
P2 0.246 0.594 0.881
P3 0.246 0.287 0.406
P4 0.246 0.119 0.713
P5 0.754 0.406 0.119
P6 0.754 0.713 0.594
P7 0.754 0.881 0.287
Rh1 0.250 0.552 0.618
Rh2 0.250 0.067 0.448
Rh3 0.250 0.382 0.933
Rh4 0.750 0.448 0.382
Rh5 0.750 0.933 0.552
Rh6 0.750 0.618 0.067
Rh7 0.248 0.849 0.111
Rh8 0.248 0.261 0.151
Rh9 0.248 0.889 0.739
Rh10 0.752 0.151 0.889
Rh11 0.752 0.739 0.849
Rh12 0.752 0.111 0.261

=====

Computed, not measured: AsIrRh3 after structural relaxation at the GGA-PBEsol level of DFT.

Its total energy is -33.9 eV/cell.

a = 4.399 Å, b = 4.399 Å, c = 4.399 Å
α = 90.00°, β = 90.00°, γ = 90.00°
Each line ends with the local moment (μB).
Fractional positions:
As1 0.000 0.000 0.000  0.00
Ir1 0.500 0.500 0.500  0.39
Rh1 0.000 0.500 0.000  0.12
Rh2 0.000 0.000 0.500  0.12
Rh3 0.500 0.000 0.000  0.12

=====

Quick rundown of ρ, same order as above: 9.98, 11.24 Mg/m³